# 1
# RbNa2BiF6

A geometry-optimized RbNa2BiF6 structure (PBE, the Alexandria database).

Lattice parameters (Å, degrees): 6.379 6.379 6.379 58.15 58.15 58.15
Fractional positions:
Rb  0.000  0.000  0.000
Na  0.263  0.263  0.263
Na  0.778  0.778  0.778
Bi  0.477  0.477  0.477
F  0.090  0.597  0.451
F  0.172  0.531  0.881
F  0.451  0.090  0.597
F  0.531  0.881  0.172
F  0.597  0.451  0.090
F  0.881  0.172  0.531

Calculated values
Energy   -4.531 eV/atom
Magnetic moment   0.00 μB/cell
Symmetry   R3, No. 146
E_form (uncorrected)   -2.659 eV/atom



# 2
# RbNa2BiF

A geometry-optimized RbNa2BiF structure (PBE, the Alexandria database).

Lattice parameters (Å, degrees): 5.103 5.103 5.423 90.00 90.00 90.00
Fractional positions:
Rb  0.000  0.000  0.000
Na  0.000  0.500  0.500
Na  0.500  0.000  0.500
Bi  0.500  0.500  0.000
F  0.000  0.000  0.500

Calculated values
Energy   -2.987 eV/atom
Magnetic moment   0.39 μB/cell
Symmetry   P4/mmm, No. 123
E_form (uncorrected)   -1.115 eV/atom



# 3
# NaScBiF6

A geometry-optimized NaScBiF6 structure (PBE, the Alexandria database).

Lattice parameters (Å, degrees): 5.561 5.561 11.150 90.00 90.00 120.00
Fractional positions:
Na  0.333  0.667  0.250
Na  0.667  0.333  0.750
Sc  0.333  0.667  0.750
Sc  0.667  0.333  0.250
Bi  0.000  0.000  0.000
Bi  0.000  0.000  0.500
F  0.036  0.355  0.647
F  0.036  0.681  0.853
F  0.319  0.355  0.853
F  0.319  0.964  0.647
F  0.355  0.036  0.147
F  0.355  0.319  0.353
F  0.645  0.681  0.647
F  0.645  0.964  0.853
F  0.681  0.036  0.353
F  0.681  0.645  0.147
F  0.964  0.319  0.147
F  0.964  0.645  0.353

Calculated values
Energy   -5.425 eV/atom
Magnetic moment   2.03 μB/cell
Symmetry   P-31c, No. 163
E_form (uncorrected)   -2.896 eV/atom



# 4
# Na2SnBiF

A geometry-optimized Na2SnBiF structure (PBE, the Alexandria database).

Lattice parameters (Å, degrees): 4.689 4.689 5.382 90.00 90.00 90.00
Fractional positions:
Na  0.000  0.500  0.000
Na  0.500  0.000  0.000
Sn  0.000  0.000  0.500
Bi  0.500  0.500  0.500
F  0.000  0.000  0.000

Calculated values
Energy   -3.504 eV/atom
Magnetic moment   0.00 μB/cell
Symmetry   P4/mmm, No. 123
E_form (uncorrected)   -1.026 eV/atom



# 5
# Na2SrBiF

A geometry-optimized Na2SrBiF structure (PBE, the Alexandria database).

Lattice parameters (Å, degrees): 4.918 4.918 5.171 90.00 90.00 90.00
Fractional positions:
Na  0.000  0.500  0.000
Na  0.500  0.000  0.000
Sr  0.000  0.000  0.500
Bi  0.500  0.500  0.500
F  0.000  0.000  0.000

Calculated values
Energy   -3.515 eV/atom
Magnetic moment   0.00 μB/cell
Symmetry   P4/mmm, No. 123
E_form (uncorrected)   -1.501 eV/atom



# 6
# NaSr2BiF

A geometry-optimized NaSr2BiF structure (PBE, the Alexandria database).

Lattice parameters (Å, degrees): 5.455 5.455 4.747 90.00 90.00 90.00
Fractional positions:
Na  0.000  0.000  0.000
Sr  0.000  0.500  0.500
Sr  0.500  0.000  0.500
Bi  0.500  0.500  0.000
F  0.000  0.000  0.500

Calculated values
Energy   -3.533 eV/atom
Magnetic moment   0.00 μB/cell
Symmetry   P4/mmm, No. 123
E_form (uncorrected)   -1.446 eV/atom



The lowest energy belongs to which entry?
NaScBiF6